K3ScMo3O12: optimized geometry, PBE with a Hubbard U.

Geometry as POSCAR:
```
K3ScMo3O12
1.0
9.5570 0.0000 0.0000
0.0000 11.1079 0.0000
0.0000 0.0000 13.9666
K Sc Mo O
12 4 12 48
Cartesian
7.8352 2.4889 3.5598 K
5.2111 8.5363 6.4511 K
1.7218 8.6190 10.5431 K
5.0124 10.8993 10.4193 K
5.0124 5.7626 3.4359 K
4.5446 0.2087 3.4359 K
4.3458 2.5716 13.4344 K
7.8352 3.0651 10.5431 K
5.2111 8.1256 13.4344 K
4.5446 5.3453 10.4193 K
1.7218 8.0429 3.5598 K
4.3458 2.9823 6.4511 K
0.6498 2.8322 7.0907 Sc
0.6498 2.7218 0.1073 Sc
8.9072 8.3862 7.0907 Sc
8.9072 8.2757 0.1073 Sc
7.1684 0.4792 13.9160 Mo
2.3692 10.5226 0.1737 Mo
7.7965 9.1791 3.5953 Mo
7.1878 4.9686 0.1737 Mo
2.3692 6.1393 7.1571 Mo
2.3885 10.6287 6.9327 Mo
1.7604 1.9289 10.5786 Mo
1.7604 3.6251 3.5953 Mo
7.1878 0.5854 7.1571 Mo
2.3885 6.0332 13.9160 Mo
7.7965 7.4828 10.5786 Mo
7.1684 5.0748 6.9327 Mo
5.9203 4.6514 12.9302 O
8.8592 8.8528 5.0365 O
2.8941 6.6625 12.3274 O
0.7663 2.4630 9.1450 O
0.8442 9.6901 13.6290 O
8.7127 1.4178 6.6457 O
3.6367 6.4565 5.9469 O
2.1108 5.3528 3.4838 O
7.4051 9.7707 13.8322 O
8.6659 4.2143 7.4836 O
8.7127 4.1361 13.6290 O
0.6978 3.2988 5.0365 O
6.6510 1.2374 8.7167 O
6.2448 8.3236 3.7528 O
3.7159 10.2332 8.0401 O
2.9059 9.8705 1.7334 O
2.1416 1.2235 0.3123 O
2.9059 6.7914 8.7167 O
6.2448 8.3383 10.7361 O
8.8592 7.8091 12.0198 O
7.4153 9.8845 7.2957 O
7.4462 5.7551 10.4671 O
8.7906 8.0170 9.1450 O
5.8410 4.6793 8.0401 O
3.7159 6.4287 1.0568 O
0.7663 3.0909 2.1617 O
2.1518 4.2168 13.8322 O
6.6628 4.4455 5.3441 O
0.6978 2.2552 12.0198 O
0.8911 6.8936 0.5002 O
5.8410 0.8747 1.0568 O
3.6367 10.2054 12.9302 O
7.4051 6.8912 6.8488 O
3.3122 2.7843 10.7361 O
8.7906 8.6449 2.1617 O
6.6628 1.1085 12.3274 O
6.6510 4.3165 1.7334 O
7.4462 10.9067 3.4838 O
2.1416 4.3305 7.2957 O
0.8442 6.9718 6.6457 O
2.1108 0.2012 10.4671 O
3.3122 2.7696 3.7528 O
5.9203 0.9026 5.9469 O
8.6659 1.3396 0.5002 O
7.4153 6.7774 0.3123 O
0.8911 9.7683 7.4836 O
2.8941 9.9994 5.3441 O
2.1518 1.3372 6.8488 O
```

Computed properties:
spin magnetization	0.0	μB per formula unit
N(E_F)	0.000	states/eV per atom
raw total energy	-6.8187	eV per atom
space group	Pca2_1 (29)

MgScMoO6: optimized geometry, PBE with a Hubbard U.

Geometry as POSCAR:
```
MgScMoO6
1.0
4.4571 0.0000 0.0000
0.0000 5.2671 0.0000
0.0000 -2.6336 4.5615
Mg Sc Mo O
1 1 1 6
Cartesian
0.0000 0.0000 3.0410 Mg
2.2285 2.6336 1.5205 Sc
2.2285 0.0000 0.0000 Mo
3.2822 1.8065 3.1506 O
3.2822 -0.9981 4.5506 O
3.2822 -0.8083 1.4217 O
1.1749 0.8083 1.4217 O
1.1749 0.9981 4.5506 O
1.1749 -1.8065 3.1506 O
```

Computed properties:
spin magnetization	1.0	μB per formula unit
N(E_F)	0.398	states/eV per atom
raw total energy	-7.1065	eV per atom
space group	P312 (149)

Question: spin magnetization of number 1 (K3ScMo3O12)?
Answer: 0.0 μB per formula unit